First-principles (GGA-PBE) data for a relaxed structure of Fe3AgSe, as listed in Alexandria via LeMat-Bulk.

Geometry as POSCAR:
```
Fe3AgSe
1.0
-0.313 0.475 -4.363
0.537 -4.337 -0.511
-4.356 -0.569 0.250
Se Ag Fe
1 1 3
direct
0.000 0.000 0.000 Se
0.500 0.500 0.500 Ag
0.000 0.500 0.000 Fe
0.000 0.000 0.500 Fe
0.500 0.000 0.000 Fe
```

- space group = Pm-3m, No. 221
- theoretical density (g/cm³) = 6.91
- formation energy without anion corrections (eV per atom) = 0.679
- N(E_F) (states/eV per cell) = 8.1
- VASP energy (eV per atom) = -5.666
- ΔE to the lowest computed polymorph (eV/atom) = 0.000

First-principles (GGA-PBE) data for a relaxed structure of Fe2AgSe, as listed in Alexandria via LeMat-Bulk.

Geometry as POSCAR:
```
Fe2AgSe
1.0
3.031 0.000 0.000
0.000 3.015 0.309
0.000 2.350 6.723
Ag Fe Se
1 2 1
direct
0.500 0.750 0.750 Ag
0.000 0.968 0.032 Fe
0.000 0.532 0.468 Fe
0.500 0.250 0.250 Se
```

- space group = P2/m, No. 10
- theoretical density (g/cm³) = 8.37
- formation energy without anion corrections (eV per atom) = 0.338
- N(E_F) (states/eV per cell) = 3.8
- VASP energy (eV per atom) = -5.477

First-principles (GGA-PBE) data for a relaxed structure of FeAgSe4, as listed in Alexandria via LeMat-Bulk.

Geometry as POSCAR:
```
FeAgSe4
1.0
-4.824 -2.555 1.548
-1.308 -0.499 5.499
-4.250 3.053 2.194
Fe Ag Se
1 1 4
direct
0.000 0.000 0.000 Fe
0.750 0.750 0.750 Ag
0.875 0.375 0.375 Se
0.375 0.375 0.875 Se
0.375 0.875 0.375 Se
0.375 0.375 0.375 Se
```

- space group = F-43m, No. 216
- theoretical density (g/cm³) = 6.16
- formation energy without anion corrections (eV per atom) = 0.827
- N(E_F) (states/eV per cell) = 7.2
- VASP energy (eV per atom) = -3.382

First-principles (GGA-PBE) data for a relaxed structure of FeAgSe2, as listed in Alexandria via LeMat-Bulk.

Geometry as POSCAR:
```
FeAgSe2
1.0
-0.682 0.959 3.955
0.819 -3.922 1.092
6.371 -0.530 1.227
Ag Fe Se
1 1 2
direct
0.000 0.374 0.627 Ag
0.500 0.876 0.624 Fe
0.000 0.752 0.871 Se
0.500 0.498 0.379 Se
```

- space group = Amm2, No. 38
- theoretical density (g/cm³) = 5.05
- formation energy without anion corrections (eV per atom) = 0.017
- N(E_F) (states/eV per cell) = 4.2
- VASP energy (eV per atom) = -4.554

First-principles (GGA-PBE) data for a relaxed structure of FeAgSe2, as listed in Alexandria via LeMat-Bulk.

Geometry as POSCAR:
```
FeAgSe2
1.0
6.560 0.048 -0.120
5.695 3.257 -0.120
0.770 0.208 4.168
Ag Fe Se
1 1 2
direct
0.518 0.518 0.533 Ag
0.313 0.313 0.268 Fe
0.948 0.948 0.089 Se
0.720 0.720 0.611 Se
```

- space group = Cm, No. 8
- theoretical density (g/cm³) = 6.05
- formation energy without anion corrections (eV per atom) = 0.011
- N(E_F) (states/eV per cell) = 1.0
- VASP energy (eV per atom) = -4.560

First-principles (GGA-PBE) data for a relaxed structure of FeAgSe2, as listed in Alexandria via LeMat-Bulk.

Geometry as POSCAR:
```
FeAgSe2
1.0
3.141 0.030 0.000
-0.030 3.141 0.000
0.000 0.000 7.154
Ag Fe Se
1 1 2
direct
0.500 0.500 0.250 Ag
0.500 0.500 0.750 Fe
0.000 0.000 0.959 Se
0.000 0.000 0.541 Se
```

- space group = P4/mmm, No. 123
- theoretical density (g/cm³) = 7.57
- formation energy without anion corrections (eV per atom) = 0.167
- N(E_F) (states/eV per cell) = 2.0
- VASP energy (eV per atom) = -4.404

First-principles (GGA-PBE) data for a relaxed structure of FeAgSe2, as listed in Alexandria via LeMat-Bulk.

Geometry as POSCAR:
```
FeAgSe2
1.0
-1.578 1.924 5.372
2.615 -4.710 2.455
5.267 1.441 4.293
Se Ag Fe
4 2 2
direct
0.588 0.125 0.250 Se
0.162 0.625 0.250 Se
0.375 0.412 0.750 Se
0.875 0.838 0.750 Se
0.000 0.000 0.000 Ag
0.750 0.250 0.500 Ag
0.500 0.500 0.000 Fe
0.250 0.750 0.500 Fe
```

- space group = I-42d, No. 122
- theoretical density (g/cm³) = 5.50
- formation energy without anion corrections (eV per atom) = -0.071
- N(E_F) (states/eV per cell) = 7.7
- VASP energy (eV per atom) = -4.642

First-principles (GGA-PBE) data for a relaxed structure of Fe2AgSe, as listed in Alexandria via LeMat-Bulk.

Geometry as POSCAR:
```
Fe2AgSe
1.0
-3.362 0.939 -1.838
-0.556 -2.911 -0.469
-3.154 -1.739 4.881
Ag Fe Se
1 2 1
direct
0.500 0.048 0.781 Ag
0.000 0.881 0.113 Fe
0.500 0.352 0.171 Fe
0.000 0.219 0.435 Se
```

- space group = Pm, No. 6
- theoretical density (g/cm³) = 7.13
- formation energy without anion corrections (eV per atom) = 0.253
- N(E_F) (states/eV per cell) = 2.4
- VASP energy (eV per atom) = -5.563

> Among the records above, which one has the lowest VASP energy?

Fe3AgSe